VASP calculation (PBE-GGA) on an optimized crystal structure of Tl2PO3.

Cell: 5.5636 13.5341 12.9058 Å, 90.00 90.00 90.00°
Space group Pbca (No. 61)
Unique sites:
Tl1 0.0020 0.0693 0.1506 [8 per cell]
Tl2 0.0614 0.7188 0.6349 [8 per cell]
P1 0.0208 0.5637 0.9462 [8 per cell]
O1 0.0916 0.0336 0.6585 [8 per cell]
O2 0.1096 0.1542 0.5057 [8 per cell]
O3 0.2014 0.0800 0.9406 [8 per cell]

Output
Its crystal system is orthorhombic. The value obtained for the formation energy without anion corrections is -147 kJ per mole of atoms. The calculation puts the total moment at 0.000 μB/atom.

---

VASP calculation (PBE-GGA) on an optimized crystal structure of LiReSe.

Cell: 3.0534 4.9037 13.0205 Å, 90.00 90.00 90.00°
Space group Fmm2 (No. 42)
Unique sites:
Li1 0.0000 0.0000 0.0000 [4 per cell]
Re1 0.0000 0.0000 0.3278 [4 per cell]
Se1 0.0000 0.0000 0.6751 [4 per cell]

Output
The calculation puts the distance to the lowest polymorph of the same formula at 322.4 meV per atom. Its crystal system is orthorhombic. The value obtained for the formation energy without anion corrections is 40 kJ per mole of atoms. The calculation puts the total moment at 0.001 μB/atom.

---

VASP calculation (PBE-GGA) on an optimized crystal structure of AlZnF2.

Cell: 8.5472 8.5472 8.5472 Å, 90.00 90.00 90.00°
Space group Fd-3m (No. 227, origin choice 2)
Unique sites:
Al1 0.1250 0.1250 0.1250 [8 per cell]
Zn1 0.1250 0.1250 0.6250 [8 per cell]
F1 0.0000 0.0000 0.0000 [16 per cell]

Output
The calculation puts the distance to the lowest polymorph of the same formula at 0.0 meV per atom. Its crystal system is cubic. The value obtained for the formation energy without anion corrections is -158 kJ per mole of atoms. The calculation puts the total moment at 0.000 μB/atom.

---

VASP calculation (PBE-GGA) on an optimized crystal structure of V4AgS8.

Cell: 9.7494 9.7494 9.7494 Å, 90.00 90.00 90.00°
Space group F-43m (No. 216)
Unique sites:
V1 0.1082 0.1082 0.3918 [16 per cell]
Ag1 0.0000 0.0000 0.0000 [4 per cell]
S1 0.1271 0.1271 0.6271 [16 per cell]
S2 0.1420 0.1420 0.1420 [16 per cell]

Output
The calculation puts the distance to the lowest polymorph of the same formula at 43.4 meV per atom. Its crystal system is cubic. The value obtained for the formation energy without anion corrections is -70 kJ per mole of atoms. The calculation puts the total moment at 0.083 μB/atom.

---

VASP calculation (PBE-GGA) on an optimized crystal structure of Ti2CBr2.

Cell: 3.3221 3.3221 31.2995 Å, 90.00 90.00 120.00°
Space group R-3m (No. 166, hexagonal axes)
Unique sites:
Ti1 0.0000 0.0000 0.1327 [6 per cell]
C1 0.0000 0.0000 0.5000 [3 per cell]
Br1 0.0000 0.0000 0.2592 [6 per cell]

Output
Its crystal system is trigonal. The value obtained for the formation energy without anion corrections is -104 kJ per mole of atoms. The calculation puts the total moment at 0.000 μB/atom.

---

VASP calculation (PBE-GGA) on an optimized crystal structure of NaHfCl5.

Cell: 11.3850 8.1660 9.8169 Å, 90.00 115.29 90.00°
Space group C2/c (No. 15)
Unique sites:
Na1 0.0000 0.0261 0.2500 [4 per cell]
Hf1 0.0000 0.5000 0.0000 [4 per cell]
Cl1 0.0000 0.4090 0.2500 [4 per cell]
Cl2 0.0529 0.2174 0.9729 [8 per cell]
Cl3 0.2276 0.4336 0.6286 [8 per cell]

Output
Its crystal system is monoclinic. The value obtained for the formation energy without anion corrections is -173 kJ per mole of atoms. The calculation puts the total moment at 0.000 μB/atom.

---

VASP calculation (PBE-GGA) on an optimized crystal structure of Dy2HfPd.

Cell: 3.4868 3.4868 7.8808 Å, 90.00 90.00 90.00°
Space group P4/mmm (No. 123)
Unique sites:
Dy1 0.0000 0.0000 0.2200 [2 per cell]
Hf1 0.5000 0.5000 0.5000 [1 per cell]
Pd1 0.5000 0.5000 0.0000 [1 per cell]

Output
Its crystal system is tetragonal. The formation energy from the elements is -337 meV/atom. The calculation puts the total moment at 0.000 μB/atom.

---

VASP calculation (PBE-GGA) on an optimized crystal structure of LiLa2RuPb.

Cell: 5.4524 5.4524 5.3710 Å, 90.00 90.00 90.00°
Space group P4/mmm (No. 123)
Unique sites:
Li1 0.0000 0.0000 0.0000 [1 per cell]
La1 0.0000 0.5000 0.5000 [2 per cell]
Ru1 0.5000 0.5000 0.5000 [1 per cell]
Pb1 0.5000 0.5000 0.0000 [1 per cell]

Output
The calculation puts the distance to the lowest polymorph of the same formula at 62.4 meV per atom. Its crystal system is tetragonal. The formation energy from the elements is -176 meV/atom. The calculation puts the total moment at 0.000 μB/atom.

---

VASP calculation (PBE-GGA) on an optimized crystal structure of Tb12Y3Ho.

Cell: 5.0383 5.0383 20.1357 Å, 90.00 90.00 90.00°
Space group P4/mmm (No. 123)
Unique sites:
Tb1 0.0000 0.0000 0.0000 [1 per cell]
Tb2 0.0000 0.0000 0.2495 [2 per cell]
Tb3 0.0000 0.0000 0.5000 [1 per cell]
Tb4 0.0000 0.5000 0.1242 [4 per cell]
Tb5 0.0000 0.5000 0.3748 [4 per cell]
Y1 0.5000 0.5000 0.2496 [2 per cell]
Y2 0.5000 0.5000 0.5000 [1 per cell]
Ho1 0.5000 0.5000 0.0000 [1 per cell]

Output
Its crystal system is tetragonal. The formation energy from the elements is 18 meV/atom. The calculation puts the total moment at 0.000 μB/atom.

---

VASP calculation (PBE-GGA) on an optimized crystal structure of Rb2AuF.

Cell: 4.3765 4.3765 23.3825 Å, 90.00 90.00 120.00°
Space group R-3m (No. 166, hexagonal axes)
Unique sites:
Rb1 0.0000 0.0000 0.2334 [6 per cell]
Au1 0.0000 0.0000 0.0000 [3 per cell]
F1 0.0000 0.0000 0.5000 [3 per cell]

Output
The calculation puts the distance to the lowest polymorph of the same formula at 30.6 meV per atom. Its crystal system is trigonal. The value obtained for the formation energy without anion corrections is -136 kJ per mole of atoms. The calculation puts the total moment at 0.000 μB/atom.

---

VASP calculation (PBE-GGA) on an optimized crystal structure of RbHg3Pt.

Cell: 5.4069 5.4069 26.8806 Å, 90.00 90.00 90.00°
Space group I-4m2 (No. 119)
Unique sites:
Rb1 0.0000 0.0000 0.0000 [2 per cell]
Rb2 0.0000 0.5000 0.2500 [2 per cell]
Hg1 0.0000 0.0000 0.3532 [4 per cell]
Hg2 0.0000 0.2480 0.1213 [8 per cell]
Pt1 0.0000 0.5000 0.6319 [4 per cell]

Output
The calculation puts the distance to the lowest polymorph of the same formula at 369.8 meV per atom. Its crystal system is tetragonal. The formation energy from the elements is 88 meV/atom. The calculation puts the total moment at 0.000 μB/atom.

---

VASP calculation (PBE-GGA) on an optimized crystal structure of Hg2PtW.

Cell: 5.0488 5.0488 2.8871 Å, 90.00 90.00 90.00°
Space group P4/mmm (No. 123)
Unique sites:
Hg1 0.0000 0.5000 0.0000 [2 per cell]
Pt1 0.0000 0.0000 0.5000 [1 per cell]
W1 0.5000 0.5000 0.5000 [1 per cell]

Output
The calculation puts the distance to the lowest polymorph of the same formula at 501.0 meV per atom. Its crystal system is tetragonal. The formation energy from the elements is 707 meV/atom. The calculation puts the total moment at 0.017 μB/atom.

---

- What is the formula in the first record?
  Tl2PO3